# 1
This record from the Alexandria database describes LiCu2Sb after structural relaxation. The functional is PBE-GGA.

a b c (Å): 3.9305 3.9305 9.2917
angles (deg): 77.79 77.79 90.00
With the nearest neighbours (Å) after each atom.
Positions (direct):
Sb  0.0000  0.0000  0.0000  4 Cu 2.61, 4 Li 2.78
Sb  0.7500  0.2500  0.5000  4 Cu 2.61, 4 Li 2.78
Cu  0.6272  0.1250  0.2500  2 Sb 2.61, 2 Li 2.62, 4 Cu 2.77-2.79
Cu  0.1228  0.6250  0.2500  2 Sb 2.61, 2 Li 2.62, 4 Cu 2.77-2.79
Cu  0.3750  0.3728  0.7500  2 Sb 2.61, 2 Li 2.62, 4 Cu 2.77-2.79
Cu  0.8750  0.8772  0.7500  2 Sb 2.61, 2 Li 2.62, 4 Cu 2.77-2.79
Li  0.5000  0.5000  0.0000  4 Cu 2.62, 4 Sb 2.78
Li  0.2500  0.7500  0.5000  4 Cu 2.62, 4 Sb 2.78

Output
Electronic total energy = -3.450 eV per atom
Calculated volume = 136.97 Å³/cell
Density of states at the Fermi level = 0.42 states/eV/atom

=====

# 2
This record from the Alexandria database describes LiCuSb after structural relaxation. The functional is PBE-GGA.

a b c (Å): 4.2588 4.2388 7.4693
angles (deg): 90.00 73.33 119.82
With the nearest neighbours (Å) after each atom.
Positions (direct):
Sb  0.5731  0.9200  0.5446  4 Cu 2.65-2.68
Sb  0.5617  0.4144  0.0701  4 Cu 2.65-2.68, 1 Li 2.97
Cu  0.3276  0.7976  0.9207  4 Li 2.58-2.73, 4 Sb 2.65-2.68
Cu  0.8077  0.5374  0.6940  4 Li 2.58-2.73, 4 Sb 2.65-2.68
Li  0.0673  0.1673  0.8076  6 Cu 2.58
Li  0.0671  0.6667  0.3073  2 Cu 2.73, 6 Sb 2.97

Output
Electronic total energy = -3.665 eV per atom
Calculated volume = 110.40 Å³/cell
Density of states at the Fermi level = 0.54 states/eV/atom

=====

# 3
This record from the Alexandria database describes Li4CuSb after structural relaxation. The functional is PBE-GGA.

a b c (Å): 5.1437 5.1437 5.1437
angles (deg): 60.00 60.00 60.00
With the nearest neighbours (Å) after each atom.
Positions (direct):
Li  0.3751  0.8748  0.3751  6 Li 2.57
Li  0.8748  0.3751  0.3751  6 Li 2.57
Li  0.3751  0.3751  0.8748  6 Li 2.57
Li  0.3751  0.3751  0.3751  6 Li 2.57
Cu  0.0000  0.0000  0.0000  12 Li 3.02, 4 Sb 3.15
Sb  0.7500  0.7500  0.7500  12 Li 3.02, 4 Cu 3.15

Output
Electronic total energy = -2.698 eV per atom
Calculated volume = 96.23 Å³/cell
Density of states at the Fermi level = 0.32 states/eV/atom

=====

# 4
This record from the Alexandria database describes Li2CuSb after structural relaxation. The functional is PBE-GGA.

a b c (Å): 4.3971 3.2423 5.4547
angles (deg): 71.98 90.00 90.00
With the nearest neighbours (Å) after each atom.
Positions (direct):
Cu  0.5000  0.5577  0.7586  2 Sb 2.58, 1 Li 2.78
Li  0.0000  0.9571  0.9503  3 Sb 2.84-2.86, 4 Cu 2.91
Li  0.5000  0.2935  0.2938  3 Cu 2.78-2.92, 4 Sb 2.92-2.94
Sb  0.0000  0.6917  0.4973  2 Cu 2.58, 3 Li 2.84-2.86

Output
Electronic total energy = -3.244 eV per atom
Calculated volume = 73.95 Å³/cell
Density of states at the Fermi level = 0.21 states/eV/atom

=====

# 5
This record from the Alexandria database describes LiCu2Sb after structural relaxation. The functional is PBE-GGA.

a b c (Å): 4.6903 4.6903 4.0488
angles (deg): 64.42 64.42 51.12
With the nearest neighbours (Å) after each atom.
Positions (direct):
Cu  0.0001  0.0001  0.0001  4 Cu 2.75, 4 Sb 2.75, 4 Li 2.86
Cu  0.7499  0.7499  0.7500  4 Cu 2.75, 4 Li 2.75, 4 Sb 2.86
Li  0.5000  0.5000  0.4999  8 Cu 2.75-2.86, 4 Sb 2.75
Sb  0.2500  0.2500  0.2500  8 Cu 2.75-2.86, 4 Li 2.75

Output
Electronic total energy = -3.686 eV per atom
Calculated volume = 60.87 Å³/cell
Density of states at the Fermi level = 0.09 states/eV/atom

=====

# 6
This record from the Alexandria database describes Li2CuSb after structural relaxation. The functional is PBE-GGA.

a b c (Å): 4.8516 4.8516 4.8516
angles (deg): 130.19 130.14 73.14
With the nearest neighbours (Å) after each atom.
Positions (direct):
Cu  0.2500  0.7500  0.5000  8 Li 2.82, 4 Sb 2.89
Li  0.0000  0.0000  0.0000  4 Sb 2.82, 4 Cu 2.82, 4 Li 2.89
Li  0.5000  0.5000  0.0000  4 Sb 2.82, 4 Cu 2.82, 4 Li 2.89
Sb  0.7500  0.2500  0.5000  8 Li 2.82, 4 Cu 2.89

Output
Electronic total energy = -3.338 eV per atom
Calculated volume = 65.11 Å³/cell
Density of states at the Fermi level = 0.22 states/eV/atom

=====

# 7
This record from the Alexandria database describes LiCuSb after structural relaxation. The functional is PBE-GGA.

a b c (Å): 4.4390 4.4448 6.7483
angles (deg): 70.49 97.43 120.10
With the nearest neighbours (Å) after each atom.
Positions (direct):
Sb  0.6497  0.3932  0.5815  4 Cu 2.58-2.65
Sb  0.2809  0.9569  0.0861  4 Cu 2.70-2.77, 5 Li 2.84-2.99
Cu  0.9716  0.3756  0.9416  4 Li 2.59-2.61, 4 Sb 2.65-2.77
Cu  0.3155  0.7628  0.5084  4 Sb 2.58-2.70, 4 Li 2.70-2.77
Li  0.9855  0.1770  0.3517  4 Cu 2.61-2.77, 1 Sb 2.92
Li  0.6446  0.7449  0.8749  4 Cu 2.59-2.70, 2 Sb 2.84-2.89

Output
Electronic total energy = -3.660 eV per atom
Calculated volume = 108.46 Å³/cell
Density of states at the Fermi level = 0.28 states/eV/atom

=====

# 8
This record from the Alexandria database describes LiCu2Sb after structural relaxation. The functional is PBE-GGA.

a b c (Å): 3.2338 3.2338 6.2025
angles (deg): 90.00 90.00 90.04
With the nearest neighbours (Å) after each atom.
Positions (direct):
Cu  0.0000  0.0000  0.0495  4 Cu 2.53, 1 Li 2.57
Cu  0.5000  0.5000  0.2229  4 Cu 2.53, 4 Li 2.73
Li  0.0000  0.0000  0.4637  5 Cu 2.57-2.73
Sb  0.5000  0.5000  0.7639  5 Cu 2.85-2.89, 4 Li 2.95

Output
Electronic total energy = -3.565 eV per atom
Calculated volume = 64.86 Å³/cell
Density of states at the Fermi level = 0.21 states/eV/atom

=====

# 9
This record from the Alexandria database describes Li2CuSb after structural relaxation. The functional is PBE-GGA.

a b c (Å): 3.1806 3.1806 6.8063
angles (deg): 90.00 90.00 90.00
With the nearest neighbours (Å) after each atom.
Positions (direct):
Cu  0.5000  0.5000  0.7500  8 Li 2.68
Li  0.0000  0.0000  0.9646  4 Cu 2.68, 1 Li 2.92, 4 Sb 2.97
Li  0.0000  0.0000  0.5354  4 Cu 2.68, 1 Li 2.92, 4 Sb 2.97
Sb  0.5000  0.5000  0.2500  8 Li 2.97, 4 Sb 3.18

Output
Electronic total energy = -3.172 eV per atom
Calculated volume = 68.86 Å³/cell
Density of states at the Fermi level = 0.41 states/eV/atom

=====

# 10
This record from the Alexandria database describes Li2Cu2Sb after structural relaxation. The functional is PBE-GGA.

a b c (Å): 3.7974 3.7974 6.3892
angles (deg): 72.71 72.71 90.00
With the nearest neighbours (Å) after each atom.
Positions (direct):
Sb  0.0000  0.0000  0.0000  8 Cu 2.93
Cu  0.3991  0.3991  0.2017  1 Cu 2.34, 4 Li 2.57
Cu  0.6009  0.6009  0.7983  1 Cu 2.34, 4 Li 2.57
Li  0.7500  0.2500  0.5000  4 Cu 2.57, 4 Li 2.69
Li  0.2500  0.7500  0.5000  4 Cu 2.57, 4 Li 2.69

Output
Offset from the most stable computed form = 253.3 meV per atom
Calculated volume = 83.60 Å³/cell
Density of states at the Fermi level = 0.47 states/eV/atom

=====

# 11
This record from the Alexandria database describes LiCuSb after structural relaxation. The functional is PBE-GGA.

a b c (Å): 4.7285 4.7285 4.7285
angles (deg): 134.74 134.74 65.93
With the nearest neighbours (Å) after each atom.
Positions (direct):
Cu  0.0025  0.0025  0.0000  5 Li 2.62-2.90, 5 Sb 2.68-2.88
Li  0.3333  0.3333  0.0000  5 Cu 2.62-2.90, 5 Sb 2.63-2.90
Sb  0.6642  0.6642  0.0000  5 Li 2.63-2.90, 5 Cu 2.68-2.88

Output
Electronic total energy = -3.544 eV per atom
Calculated volume = 52.52 Å³/cell
Density of states at the Fermi level = 0.29 states/eV/atom

=====

# 12
This record from the Alexandria database describes Li2CuSb2 after structural relaxation. The functional is PBE-GGA.

a b c (Å): 5.6020 6.0459 7.2249
angles (deg): 114.73 112.81 90.00
With the nearest neighbours (Å) after each atom.
Positions (direct):
Li  0.9043  0.7396  0.8086  2 Cu 2.71, 2 Sb 2.89-2.99, 1 Li 3.02
Li  0.0957  0.2604  0.1914  2 Cu 2.71, 2 Sb 2.89-2.99, 1 Li 3.02
Li  0.5957  0.9310  0.1914  2 Cu 2.71, 2 Sb 2.89-2.99, 1 Li 3.02
Li  0.4043  0.0690  0.8086  2 Cu 2.71, 2 Sb 2.89-2.99, 1 Li 3.02
Cu  0.7500  0.5000  0.0000  4 Sb 2.62, 4 Li 2.71, 2 Cu 2.80
Cu  0.2500  0.5000  0.0000  4 Sb 2.62, 4 Li 2.71, 2 Cu 2.80
Sb  0.3392  0.5258  0.6784  2 Cu 2.62, 1 Li 2.89
Sb  0.6608  0.4742  0.3216  2 Cu 2.62, 1 Li 2.89
Sb  0.1608  0.8474  0.3216  2 Cu 2.62, 1 Li 2.89
Sb  0.8392  0.1526  0.6784  2 Cu 2.62, 1 Li 2.89

Output
Offset from the most stable computed form = 41.7 meV per atom
Calculated volume = 200.99 Å³/cell
Density of states at the Fermi level = 0.48 states/eV/atom

=====

- Among the records above, which one has the lowest density of states at the Fermi level?
  number 5

=====

- Look up the density of states at the Fermi level of the first one.
  0.42 states/eV/atom

=====

- Look up the density of states at the Fermi level of the ninth one.
  0.41 states/eV/atom

=====

- Which value of density of states at the Fermi level does entry 2 give?
  0.54 states/eV/atom